[1]
Below is a geometry-optimized Ho3Si6Ni2Ir structure, with properties calculated at the PBE level.

extended XYZ file:
```
12
Lattice="5.652 0.000 0.000 -2.826 4.895 0.000 0.000 0.000 7.706" Properties=species:S:1:pos:R:3 pbc="T T T"
Ho 0.000 0.000 0.000
Ho 0.000 3.263 4.750
Ho 2.826 1.632 2.956
Si 0.000 1.865 2.184
Si -1.211 3.962 2.184
Si 1.615 0.932 5.521
Si 1.211 3.962 2.184
Si 4.037 0.932 5.521
Si 2.826 3.030 5.521
Ni 0.000 3.263 0.310
Ni 2.826 1.632 7.396
Ir 0.000 0.000 3.853
```

## Properties
ρ, g cm⁻³: 7.58
Formation energy from raw total energies, eV per atom: -0.385
Fermi-level density of states, states/eV per cell: 7.07
Symmetry: No. 164
Total magnetization, μB/f.u.: 0.00


[2]
Below is a geometry-optimized MgNb3V structure, with properties calculated at the PBE level.

extended XYZ file:
```
5
Lattice="4.745 0.000 0.000 0.000 4.745 0.000 0.000 0.000 4.745" Properties=species:S:1:pos:R:3 pbc="T T T"
Mg 0.000 0.000 0.000
Nb 0.000 0.000 2.373
Nb 0.000 2.373 0.000
Nb 2.373 0.000 0.000
V 2.373 2.373 2.373
```

## Properties
ρ, g cm⁻³: 5.50
Energy of formation from the pure elements, eV per formula unit: 9.3
Energy above the most stable polymorph in this dataset, eV/atom: 1.0274
Fermi-level density of states, states/eV per cell: 7.75
Symmetry: No. 221
Total magnetization, μB/f.u.: 2.55


[3]
Below is a geometry-optimized Ag2HgSe structure, with properties calculated at the PBE level.

extended XYZ file:
```
4
Lattice="4.811 -1.972 0.000 4.811 1.972 0.000 -0.760 0.000 4.563" Properties=species:S:1:pos:R:3 pbc="T T T"
Ag 0.000 0.000 0.000
Ag 1.828 0.000 3.336
Hg 4.444 0.000 2.305
Se 7.005 0.000 0.718
```

## Properties
ρ, g cm⁻³: 9.50
Formation energy from raw total energies, eV per atom: 0.068
Energy above the most stable polymorph in this dataset, eV/atom: 0.0694
Fermi-level density of states, states/eV per cell: 1.33
Symmetry: No. 8
Total magnetization, μB/f.u.: 0.00


Which formula does entry 2 have?
MgNb3V


What is the Fermi-level density of states in the first record?
7.07 states/eV per cell


ρ of number 3 (Ag2HgSe)?
9.50 g cm⁻³


Please write out number 2 again, unchanged.
Below is a geometry-optimized MgNb3V structure, with properties calculated at the PBE level.

extended XYZ file:
```
5
Lattice="4.745 0.000 0.000 0.000 4.745 0.000 0.000 0.000 4.745" Properties=species:S:1:pos:R:3 pbc="T T T"
Mg 0.000 0.000 0.000
Nb 0.000 0.000 2.373
Nb 0.000 2.373 0.000
Nb 2.373 0.000 0.000
V 2.373 2.373 2.373
```

## Properties
ρ, g cm⁻³: 5.50
Energy of formation from the pure elements, eV per formula unit: 9.3
Energy above the most stable polymorph in this dataset, eV/atom: 1.0274
Fermi-level density of states, states/eV per cell: 7.75
Symmetry: No. 221
Total magnetization, μB/f.u.: 2.55